[1]
# BaNaCd2F8

An optimized crystal structure of BaNaCd2F8 (GGA-PBE, the Alexandria database).

Results
The space group is P-1 (2). The calculated volume is 186.1 Å³/cell. For the formation energy without anion corrections, the calculation gives -2.462 eV/atom. The calculated total energy is -4.1327 eV per atom. For the density, the calculation gives 4.792 g cm⁻³. Its magnetic moment is 1.053 μB/cell.

a = 4.0242 Å, b = 5.9473 Å, c = 7.7916 Å
α = 89.55°, β = 86.69°, γ = 89.20°
With the nearest neighbours (Å) after each atom.
Fractional coordinates of all 12 atoms:
F1 0.0108 0.2732 0.2295  2 Cd 2.37-2.48, 1 Na 2.43, 1 F 2.55, 1 Ba 2.65
F2 0.5062 0.7183 0.5025  2 Cd 2.40-2.44, 1 F 2.60, 2 Ba 2.62
Na1 0.0000 0.0000 0.0000  8 F 2.43-2.55
F3 0.9742 0.2731 0.7675  2 Cd 2.39-2.45, 1 Na 2.43, 1 F 2.59, 1 Ba 2.65
F4 0.4905 0.2604 0.0012  2 Cd 2.34-2.35, 2 Na 2.53-2.55, 2 F 2.55-2.59
Ba1 0.0000 0.0000 0.5000  8 F 2.62-2.65
F5 0.0258 0.7269 0.2325  2 Cd 2.39-2.45, 1 Na 2.43, 1 F 2.59, 1 Ba 2.65
F6 0.5095 0.7396 0.9988  2 Cd 2.34-2.35, 2 Na 2.53-2.55, 2 F 2.55-2.59
F7 0.4938 0.2817 0.4975  2 Cd 2.40-2.44, 1 F 2.60, 2 Ba 2.62
Cd1 0.4788 0.4988 0.7620  8 F 2.34-2.48
F8 0.9892 0.7268 0.7705  2 Cd 2.37-2.48, 1 Na 2.43, 1 F 2.55, 1 Ba 2.65
Cd2 0.5212 0.5012 0.2380  8 F 2.34-2.48

***

[2]
# BaNa2CdF

An optimized crystal structure of BaNa2CdF (GGA-PBE, the Alexandria database).

Results
The space group is P4/mmm (123). The calculated volume is 142.0 Å³/cell. For the formation energy without anion corrections, the calculation gives -1.099 eV/atom. The calculated total energy is -2.5689 eV per atom. For the density, the calculation gives 3.679 g cm⁻³. Its magnetic moment is 0.000 μB/cell.

a = 5.0272 Å, b = 5.0272 Å, c = 5.6203 Å
α = 90.00°, β = 90.00°, γ = 90.00°
With the nearest neighbours (Å) after each atom.
Fractional coordinates of all 5 atoms:
F1 0.0000 0.0000 0.0000  4 Na 2.51, 2 Ba 2.81
Cd1 0.5000 0.5000 0.5000  4 Ba 3.55, 8 Na 3.77
Na1 0.0000 0.5000 0.0000  2 F 2.51
Ba1 0.0000 0.0000 0.5000  2 F 2.81
Na2 0.5000 0.0000 0.0000  2 F 2.51

***

[3]
# BaNaCdF6

An optimized crystal structure of BaNaCdF6 (GGA-PBE, the Alexandria database).

Results
The space group is Imma (74). The calculated volume is 307.3 Å³/cell. For the formation energy without anion corrections, the calculation gives -2.579 eV/atom. The calculated total energy is -4.2882 eV per atom. For the density, the calculation gives 4.180 g cm⁻³. Its magnetic moment is 1.995 μB/cell.

a = 7.3505 Å, b = 7.9263 Å, c = 7.5515 Å
α = 121.66°, β = 119.12°, γ = 90.00°
With the nearest neighbours (Å) after each atom.
Fractional coordinates of all 18 atoms:
F1 0.1621 0.7936 0.7166  1 Cd 2.14
F2 0.3990 0.1490 0.7980  2 Cd 2.25, 2 Na 2.42
F3 0.0974 0.8474 0.1949  2 Na 2.44, 1 Ba 2.65
Na1 0.5000 0.0000 0.5000  4 F 2.42-2.44
Cd1 0.5000 0.5000 0.0000  6 F 2.14-2.25
F4 0.4456 0.5770 0.2834  1 Cd 2.14
F5 0.1621 0.4230 0.7166  1 Cd 2.14
Cd2 0.5000 0.0000 0.0000  6 F 2.14-2.25
F6 0.5544 0.4230 0.7166  1 Cd 2.14
Na2 0.0000 0.0000 0.5000  4 F 2.42-2.44
Ba1 0.8463 0.5963 0.6926  5 F 2.65-2.68
F7 0.4456 0.2064 0.2834  1 Cd 2.14
F8 0.8379 0.2064 0.2834  1 Cd 2.14
F9 0.5544 0.7936 0.7166  1 Cd 2.14
F10 0.8379 0.5770 0.2834  1 Cd 2.14
Ba2 0.1537 0.4037 0.3074  5 F 2.65-2.68
F11 0.9026 0.1526 0.8051  2 Na 2.44, 1 Ba 2.65
F12 0.6010 0.8510 0.2020  2 Cd 2.25, 2 Na 2.42

***

[4]
# Ba2NaCdF6

An optimized crystal structure of Ba2NaCdF6 (GGA-PBE, the Alexandria database).

Results
The space group is Pmmn (59). The calculated volume is 381.0 Å³/cell. For the formation energy without anion corrections, the calculation gives -2.902 eV/atom. The calculated total energy is -4.6328 eV per atom. For the density, the calculation gives 4.568 g cm⁻³. Its magnetic moment is 0.031 μB/cell.

a = 6.2129 Å, b = 6.9802 Å, c = 8.7852 Å
α = 90.00°, β = 90.00°, γ = 90.00°
With the nearest neighbours (Å) after each atom.
Fractional coordinates of all 20 atoms:
Ba1 0.5000 0.8105 0.2220  3 F 2.58-2.73
F1 0.7459 0.9653 0.5000  1 Na 2.31, 1 Cd 2.50
Cd1 0.0000 0.6878 0.5000  6 F 2.40-2.50
F2 0.7886 0.3870 0.5000  1 Na 2.16
Ba2 0.0000 0.1895 0.2780  3 F 2.58-2.73
F3 0.5000 0.1776 0.2512  1 Na 2.20, 1 Cd 2.40
F4 0.7114 0.6130 0.0000  1 Na 2.16
Na1 0.0000 0.7863 0.0000  6 F 2.16-2.31
Ba3 0.5000 0.8105 0.7780  3 F 2.58-2.73
Na2 0.5000 0.2137 0.5000  6 F 2.16-2.31
F5 0.0000 0.8224 0.2488  1 Na 2.20, 1 Cd 2.40
F6 0.2541 0.9653 0.5000  1 Na 2.31, 1 Cd 2.50
F7 0.2886 0.6130 0.0000  1 Na 2.16
F8 0.2459 0.0347 0.0000  1 Na 2.31, 1 Cd 2.50
F9 0.7541 0.0347 0.0000  1 Na 2.31, 1 Cd 2.50
Cd2 0.5000 0.3122 0.0000  6 F 2.40-2.50
F10 0.2114 0.3870 0.5000  1 Na 2.16
F11 0.0000 0.8224 0.7512  1 Na 2.20, 1 Cd 2.40
Ba4 0.0000 0.1895 0.7220  3 F 2.58-2.73
F12 0.5000 0.1776 0.7488  1 Na 2.20, 1 Cd 2.40